# LaSiMo2P

A relaxed structure of LaSiMo2P (GGA-PBE, Alexandria via LeMat-Bulk).

Output
Space-group type: P4/mmm, No. 123
Formation energy (no corrections) in eV/atom: 0.433
Density in kg/m3: 5801
Calculated volume in A^3/atom: 22.32
Crystal system: tetragonal
Total energy in eV/cell: -35.26

a b c (Å): 4.5114 5.4826 4.5114
angles (deg): 90.00 90.00 90.00
Fractional coordinates of all 5 atoms:
La: 0.0000 0.5000 0.0000
Mo: 0.5000 0.0000 0.0000
Mo: 0.0000 0.0000 0.5000
P: 0.0000 0.0000 0.0000
Si: 0.5000 0.5000 0.5000

---

# MgSb2PH

A relaxed structure of MgSb2PH (GGA-PBE, Alexandria via LeMat-Bulk).

Output
Space-group type: P4/mmm, No. 123
Density in kg/m3: 3704
Calculated volume in A^3/atom: 26.88
Crystal system: tetragonal
Total energy in eV/cell: -14.61

a b c (Å): 5.3027 4.7803 5.3027
angles (deg): 90.00 90.00 90.00
Fractional coordinates of all 5 atoms:
Sb: 0.0000 0.0000 0.5000
Sb: 0.5000 0.0000 0.0000
P: 0.0000 0.0000 0.0000
H: 0.5000 0.5000 0.5000
Mg: 0.0000 0.5000 0.0000

---

# BaVSe2

A relaxed structure of BaVSe2 (GGA-PBE, Alexandria via LeMat-Bulk).

Output
Space-group type: I-42d, No. 122
Formation energy (no corrections) in eV/atom: -1.095
Density in kg/m3: 5027
Calculated volume in A^3/atom: 28.59
Crystal system: tetragonal
Total energy in eV/cell: -44.78
Energy relative to the lowest polymorph listed for this composition in meV per atom: 0

a b c (Å): 7.6320 7.6320 6.6737
angles (deg): 55.12 55.12 90.00
Fractional coordinates of all 8 atoms:
Se: 0.8750 0.7898 0.7500
Se: 0.3750 0.4602 0.7500
Se: 0.5398 0.1250 0.2500
Se: 0.2102 0.6250 0.2500
V: 0.5000 0.5000 0.0000
V: 0.2500 0.7500 0.5000
Ba: 0.7500 0.2500 0.5000
Ba: 0.0000 0.0000 0.0000